MnBeO2F: optimized geometry, PBE with a Hubbard U.

Calculated values
Crystal system = tetragonal
Raw total energy = -5.47 eV/atom
Space-group type = P4/mmm (123)

Unit cell a=3.8229 b=3.8229 c=3.8239 alpha=90.00 beta=90.00 gamma=90.00
Closest atoms and distances in Å follow each position.
Fractional coordinates of all 5 atoms:
F  0.0000  0.0000  0.5000  2 Mn 1.91
O  0.0000  0.5000  0.0000  2 Mn 1.91
Be  0.5000  0.5000  0.5000  4 F 2.70, 8 O 2.70
Mn  0.0000  0.0000  0.0000  4 O 1.91, 2 F 1.91
O  0.5000  0.0000  0.0000  2 Mn 1.91